A plane-wave DFT calculation with GGA-PBEsol was carried out for a relaxed structure of V2PO5.

Properties
- total moment (μB/cell) = 8.5
- energy (eV per atom) = -8.58
- space group = I4_1/amd, No. 141
- formation energy from raw total energies (eV/atom) = -2.164

a = 5.348 Å, b = 5.348 Å, c = 7.186 Å
α = 111.85°, β = 111.85°, γ = 90.00°
Fractional coordinates of all 16 atoms:
V: 0.000 0.000 0.000
V: 0.500 0.000 0.000
V: 0.000 0.500 0.500
V: 0.000 0.000 0.500
P: 0.625 0.375 0.750
P: 0.375 0.625 0.250
O: 0.125 0.875 0.750
O: 0.875 0.125 0.250
O: 0.685 0.693 0.386
O: 0.307 0.315 0.114
O: 0.307 0.799 0.114
O: 0.315 0.307 0.614
O: 0.201 0.693 0.386
O: 0.693 0.201 0.886
O: 0.693 0.685 0.886
O: 0.799 0.307 0.614